# Li2Fe3CoO8 GGA+U relaxed
# relative energy among the computed polymorphs: 133 meV/atom
data_Li2Fe3CoO8
_cell_length_a 5.8025
_cell_length_b 5.8025
_cell_length_c 14.3457
_cell_angle_alpha 90.00
_cell_angle_beta 90.00
_cell_angle_gamma 120.00
_space_group_name_H-M_alt 'R 3 m'
_space_group_IT_number 160
_space_group_name_Hall 'R 3 -2"'
loop_
_atom_site_label
_atom_site_type_symbol
_atom_site_fract_x
_atom_site_fract_y
_atom_site_fract_z
_atom_site_occupancy
Li1 Li 0.0000 0.0000 0.0000 1
Li2 Li 0.0000 0.0000 0.3820 1
Fe1 Fe 0.1689 0.3377 0.8315 1
Co1 Co 0.0000 0.0000 0.6181 1
O1 O 0.0000 0.0000 0.2378 1
O2 O 0.0000 0.0000 0.7579 1
O3 O 0.0277 0.5139 0.7622 1
O4 O 0.1803 0.3605 0.5711 1